Entry 1:
Here is an optimized crystal structure of AlCu2PdAu from Alexandria. Energies are from GGA-PBE.

POSCAR file:
```
AlCu2PdAu
1.0
4.685 0.000 0.000
0.000 4.685 0.000
0.000 0.000 5.084
Al Cu Pd Au
1 2 1 1
Direct
0.000 0.000 0.000
0.000 0.500 0.500
0.500 0.000 0.500
0.500 0.500 0.000
0.500 0.500 0.500
```

Computed properties:
The formation energy is 0.830 eV per atom. Its symmetry is P4/mmm (123). The value obtained for the total magnetic moment is 0.00 Bohr magnetons per cell.

***

Entry 2:
Here is an optimized crystal structure of OsSN2O from Alexandria. Energies are from GGA-PBE.

POSCAR file:
```
OsSN2O
1.0
3.903 0.000 0.000
0.000 3.903 0.000
0.000 0.000 3.766
Os S N O
1 1 2 1
Direct
0.000 0.000 0.000
0.500 0.500 0.500
0.000 0.500 0.000
0.500 0.000 0.000
0.000 0.000 0.500
```

Computed properties:
Its symmetry is P4/mmm (123). The value obtained for the total magnetic moment is 0.00 Bohr magnetons per cell. The value obtained for the uncorrected formation energy is 0.987 eV per atom.

***

Entry 3:
Here is an optimized crystal structure of K2LiV2 from Alexandria. Energies are from GGA-PBE.

POSCAR file:
```
K2LiV2
1.0
10.375 0.000 0.000
0.000 10.375 0.000
0.000 0.000 3.180
K Li V
4 2 4
Direct
0.216 0.284 0.000
0.284 0.784 0.000
0.716 0.216 0.000
0.784 0.716 0.000
0.000 0.000 0.500
0.500 0.500 0.500
0.062 0.562 0.500
0.438 0.062 0.500
0.562 0.938 0.500
0.938 0.438 0.500
```

Computed properties:
The offset from the most stable computed form is 0.00 kcal/mol of atoms. The formation energy is 1.015 eV per atom. Its symmetry is P4/mbm (127). The value obtained for the total magnetic moment is 0.00 Bohr magnetons per cell.

***

Entry 4:
Here is an optimized crystal structure of Li2SiH2 from Alexandria. Energies are from GGA-PBE.

POSCAR file:
```
Li2SiH2
1.0
6.077 0.000 0.000
0.000 6.077 0.000
0.000 0.000 2.660
Li Si H
4 2 4
Direct
0.162 0.338 0.000
0.338 0.838 0.000
0.662 0.162 0.000
0.838 0.662 0.000
0.000 0.000 0.500
0.500 0.500 0.500
0.156 0.656 0.500
0.344 0.156 0.500
0.656 0.844 0.500
0.844 0.344 0.500
```

Computed properties:
Its symmetry is P4/mbm (127). The value obtained for the total energy is -3.07 eV per atom. The value obtained for the total magnetic moment is 0.00 Bohr magnetons per cell.

***

Entry 5:
Here is an optimized crystal structure of Ba2Au from Alexandria. Energies are from GGA-PBE.

POSCAR file:
```
Ba2Au
1.0
0.000 7.928 7.928
7.928 0.000 7.928
7.928 7.928 0.000
Ba Au
16 8
Direct
0.000 0.000 0.000
0.000 0.000 0.500
0.000 0.500 0.000
0.187 0.187 0.563
0.187 0.563 0.187
0.187 0.563 0.563
0.437 0.437 0.813
0.437 0.813 0.437
0.437 0.813 0.813
0.500 0.000 0.000
0.563 0.187 0.187
0.563 0.187 0.563
0.563 0.563 0.187
0.813 0.437 0.437
0.813 0.437 0.813
0.813 0.813 0.437
0.183 0.772 0.772
0.228 0.228 0.228
0.228 0.228 0.817
0.228 0.817 0.228
0.772 0.183 0.772
0.772 0.772 0.183
0.772 0.772 0.772
0.817 0.228 0.228
```

Computed properties:
The formation energy is -0.427 eV per atom. Its symmetry is Fd-3m (227). The value obtained for the total magnetic moment is 0.00 Bohr magnetons per cell.

***

Entry 6:
Here is an optimized crystal structure of CePuIO2 from Alexandria. Energies are from GGA-PBE.

POSCAR file:
```
CePuIO2
1.0
7.308 0.000 0.000
0.000 4.124 0.000
-2.319 0.000 7.747
Ce Pu I O
2 2 2 4
Direct
0.167 0.250 0.420
0.833 0.750 0.580
0.155 0.250 0.915
0.845 0.750 0.085
0.451 0.750 0.745
0.549 0.250 0.255
0.003 0.250 0.130
0.013 0.750 0.383
0.987 0.250 0.617
0.997 0.750 0.870
```

Computed properties:
Its symmetry is P2_1/m (11). The value obtained for the total magnetic moment is 14.01 Bohr magnetons per cell. The value obtained for the uncorrected formation energy is -2.528 eV per atom.

***

Entry 7:
Here is an optimized crystal structure of Nb2Ni9Pd from Alexandria. Energies are from GGA-PBE.

POSCAR file:
```
Nb2Ni9Pd
1.0
3.673 0.000 0.000
0.000 3.673 0.000
0.000 0.000 10.998
Nb Ni Pd
2 9 1
Direct
0.000 0.000 0.173
0.000 0.000 0.827
0.000 0.500 0.000
0.000 0.500 0.330
0.000 0.500 0.670
0.500 0.000 0.000
0.500 0.000 0.330
0.500 0.000 0.670
0.500 0.500 0.163
0.500 0.500 0.500
0.500 0.500 0.837
0.000 0.000 0.500
```

Computed properties:
The formation energy is -0.178 eV per atom. Its symmetry is P4/mmm (123). The value obtained for the total magnetic moment is 0.00 Bohr magnetons per cell.

***

Entry 8:
Here is an optimized crystal structure of K3LaSb from Alexandria. Energies are from GGA-PBE.

POSCAR file:
```
K3LaSb
1.0
6.465 0.000 0.000
0.000 6.465 0.000
0.000 0.000 6.465
K La Sb
3 1 1
Direct
0.000 0.000 0.500
0.000 0.500 0.000
0.500 0.000 0.000
0.000 0.000 0.000
0.500 0.500 0.500
```

Computed properties:
The offset from the most stable computed form is 13.38 kcal/mol of atoms. Its symmetry is Pm-3m (221). The value obtained for the total magnetic moment is 2.91 Bohr magnetons per cell. The value obtained for the uncorrected formation energy is 0.967 eV per atom.

***

Entry 9:
Here is an optimized crystal structure of Th8Ge2C3 from Alexandria. Energies are from GGA-PBE.

POSCAR file:
```
Th8Ge2C3
1.0
7.260 -3.714 0.000
7.260 3.714 0.000
-1.706 0.000 6.427
Th Ge C
8 2 3
Direct
0.104 0.104 0.890
0.149 0.652 0.612
0.348 0.851 0.388
0.399 0.399 0.074
0.601 0.601 0.926
0.652 0.149 0.612
0.851 0.348 0.388
0.896 0.896 0.110
0.253 0.253 0.320
0.747 0.747 0.680
0.000 0.000 0.500
0.233 0.767 0.000
0.767 0.233 0.000
```

Computed properties:
The formation energy is -0.293 eV per atom. Its symmetry is C2/m (12). The value obtained for the total magnetic moment is 0.00 Bohr magnetons per cell.

***

Entry 10:
Here is an optimized crystal structure of LiHfHg3 from Alexandria. Energies are from GGA-PBE.

POSCAR file:
```
LiHfHg3
1.0
4.680 0.000 0.000
0.000 4.680 0.000
0.000 0.000 4.680
Li Hf Hg
1 1 3
Direct
0.000 0.000 0.000
0.500 0.500 0.500
0.000 0.000 0.500
0.000 0.500 0.000
0.500 0.000 0.000
```

Computed properties:
The offset from the most stable computed form is 0.00 kcal/mol of atoms. The formation energy is 0.300 eV per atom. Its symmetry is Pm-3m (221). The value obtained for the total magnetic moment is 0.00 Bohr magnetons per cell.

***

Entry 11:
Here is an optimized crystal structure of La2NiSe from Alexandria. Energies are from GGA-PBE.

POSCAR file:
```
La2NiSe
1.0
3.843 0.000 0.000
0.000 4.459 0.000
0.000 0.000 11.232
La Ni Se
4 2 2
Direct
0.000 0.000 0.000
0.000 0.500 0.233
0.500 0.000 0.733
0.500 0.500 0.500
0.000 0.500 0.747
0.500 0.000 0.247
0.000 0.000 0.429
0.500 0.500 0.929
```

Computed properties:
Its symmetry is Imm2 (44). The value obtained for the total magnetic moment is 0.00 Bohr magnetons per cell. The value obtained for the uncorrected formation energy is -0.797 eV per atom.

***

Entry 12:
Here is an optimized crystal structure of MnRe from Alexandria. Energies are from GGA-PBE.

POSCAR file:
```
MnRe
1.0
4.127 0.000 0.000
-2.063 3.574 0.000
0.000 0.000 4.646
Mn Re
2 2
Direct
0.333 0.667 0.250
0.667 0.333 0.750
0.333 0.667 0.750
0.667 0.333 0.250
```

Computed properties:
The formation energy is 1.183 eV per atom. Its symmetry is P6_3/mmc (194). The value obtained for the total magnetic moment is 0.00 Bohr magnetons per cell.

***

Entry 13:
Here is an optimized crystal structure of RbNbCd from Alexandria. Energies are from GGA-PBE.

POSCAR file:
```
RbNbCd
1.0
3.227 0.000 0.000
0.556 4.669 0.000
0.036 0.050 13.559
Rb Nb Cd
2 2 2
Direct
0.005 0.254 0.166
0.995 0.746 0.834
0.000 0.251 0.463
0.000 0.749 0.537
0.499 0.248 0.647
0.501 0.752 0.353
```

Computed properties:
The offset from the most stable computed form is 3.26 kcal/mol of atoms. The formation energy is 0.447 eV per atom. Its symmetry is P-1 (2). The value obtained for the total magnetic moment is 0.00 Bohr magnetons per cell.

***

Entry 14:
Here is an optimized crystal structure of KTl5I7 from Alexandria. Energies are from GGA-PBE.

POSCAR file:
```
KTl5I7
1.0
8.069 -2.463 0.000
8.069 2.463 0.000
-0.018 0.000 28.981
K Tl I
2 10 14
Direct
0.000 0.000 0.000
0.617 0.617 0.500
0.088 0.088 0.327
0.088 0.088 0.673
0.257 0.257 0.102
0.257 0.257 0.898
0.360 0.360 0.398
0.360 0.360 0.602
0.529 0.529 0.173
0.529 0.529 0.827
0.808 0.808 0.250
0.808 0.808 0.750
0.168 0.168 0.214
0.168 0.168 0.786
0.277 0.277 0.500
0.340 0.340 0.000
0.449 0.449 0.287
0.449 0.449 0.713
0.618 0.618 0.070
0.619 0.619 0.930
0.721 0.721 0.362
0.721 0.721 0.638
0.895 0.895 0.138
0.895 0.895 0.861
0.998 0.998 0.430
0.998 0.998 0.570
```

Computed properties:
Its symmetry is Cm (8). The value obtained for the total magnetic moment is 0.00 Bohr magnetons per cell. The value obtained for the uncorrected formation energy is -0.702 eV per atom.

***

Entry 15:
Here is an optimized crystal structure of FeAsSe2Cl from Alexandria. Energies are from GGA-PBE.

POSCAR file:
```
FeAsSe2Cl
1.0
4.635 0.000 0.000
0.000 4.635 0.000
0.000 0.000 4.919
Fe As Se Cl
1 1 2 1
Direct
0.000 0.000 0.000
0.000 0.000 0.500
0.000 0.500 0.000
0.500 0.000 0.000
0.500 0.500 0.500
```

Computed properties:
The offset from the most stable computed form is 0.00 kcal/mol of atoms. Its symmetry is P4/mmm (123). The value obtained for the total magnetic moment is 2.84 Bohr magnetons per cell. The value obtained for the uncorrected formation energy is 0.329 eV per atom.

***

Entry 16:
Here is an optimized crystal structure of Te2MoP from Alexandria. Energies are from GGA-PBE.

POSCAR file:
```
Te2MoP
1.0
3.457 0.000 0.000
-1.729 2.994 0.000
0.000 0.000 27.701
Te Mo P
6 3 3
Direct
0.000 0.000 0.099
0.000 0.000 0.901
0.333 0.667 0.568
0.333 0.667 0.765
0.667 0.333 0.235
0.667 0.333 0.432
0.000 0.000 0.500
0.333 0.667 0.167
0.667 0.333 0.833
0.000 0.000 0.000
0.333 0.667 0.667
0.667 0.333 0.333
```

Computed properties:
Its symmetry is R-3m (166). The value obtained for the total magnetic moment is 0.00 Bohr magnetons per cell. The value obtained for the uncorrected formation energy is 0.448 eV per atom.

***

Entry 17:
Here is an optimized crystal structure of Pu2CoNi4Ge3 from Alexandria. Energies are from GGA-PBE.

POSCAR file:
```
Pu2CoNi4Ge3
1.0
3.973 0.000 0.000
0.000 3.973 0.000
0.000 0.000 10.049
Pu Co Ni Ge
2 1 4 3
Direct
0.000 0.500 0.241
0.500 0.000 0.759
0.500 0.500 0.000
0.000 0.000 0.500
0.000 0.500 0.867
0.500 0.000 0.133
0.500 0.500 0.500
0.000 0.000 0.000
0.000 0.500 0.632
0.500 0.000 0.368
```

Computed properties:
The formation energy is -0.381 eV per atom. Its symmetry is P-4m2 (115). The value obtained for the total magnetic moment is 8.95 Bohr magnetons per cell.

***

Entry 18:
Here is an optimized crystal structure of Zr2CuAuC from Alexandria. Energies are from GGA-PBE.

POSCAR file:
```
Zr2CuAuC
1.0
4.585 0.000 0.000
0.000 4.585 0.000
0.000 0.000 3.885
Zr Cu Au C
2 1 1 1
Direct
0.000 0.500 0.000
0.500 0.000 0.000
0.000 0.000 0.500
0.500 0.500 0.500
0.000 0.000 0.000
```

Computed properties:
The formation energy is -0.357 eV per atom. Its symmetry is P4/mmm (123). The value obtained for the total magnetic moment is 0.00 Bohr magnetons per cell.

***

Entry 19:
Here is an optimized crystal structure of CaPr2Er3Bi6 from Alexandria. Energies are from GGA-PBE.

POSCAR file:
```
CaPr2Er3Bi6
1.0
9.920 -2.269 0.000
9.920 2.269 0.000
-2.140 0.000 8.847
Ca Pr Er Bi
1 2 3 6
Direct
0.000 0.000 0.000
0.335 0.335 0.670
0.665 0.665 0.330
0.000 0.000 0.500
0.333 0.333 0.167
0.667 0.667 0.833
0.164 0.164 0.589
0.169 0.169 0.075
0.496 0.496 0.257
0.504 0.504 0.743
0.831 0.831 0.925
0.836 0.836 0.411
```

Computed properties:
The formation energy is -0.834 eV per atom. Its symmetry is C2/m (12). The value obtained for the total magnetic moment is 0.00 Bohr magnetons per cell.

***

Entry 20:
Here is an optimized crystal structure of Ac2CrB10 from Alexandria. Energies are from GGA-PBE.

POSCAR file:
```
Ac2CrB10
1.0
5.860 0.000 0.000
0.000 11.673 0.000
0.000 0.000 4.297
Ac Cr B
4 2 20
Direct
0.206 0.136 0.000
0.294 0.636 0.000
0.706 0.364 0.000
0.794 0.864 0.000
0.000 0.500 0.500
0.500 0.000 0.500
0.055 0.309 0.500
0.124 0.957 0.500
0.141 0.804 0.500
0.216 0.383 0.204
0.216 0.383 0.796
0.284 0.883 0.204
0.284 0.883 0.796
0.359 0.304 0.500
0.376 0.457 0.500
0.445 0.809 0.500
0.555 0.191 0.500
0.624 0.543 0.500
0.641 0.696 0.500
0.716 0.117 0.204
0.716 0.117 0.796
0.784 0.617 0.204
0.784 0.617 0.796
0.859 0.196 0.500
0.876 0.043 0.500
0.945 0.691 0.500
```

Computed properties:
The formation energy is -0.427 eV per atom. Its symmetry is Pbam (55). The value obtained for the total magnetic moment is 5.10 Bohr magnetons per cell.

***

Entry 21:
Here is an optimized crystal structure of Pm3ZnGa2Cu6 from Alexandria. Energies are from GGA-PBE.

POSCAR file:
```
Pm3ZnGa2Cu6
1.0
5.610 0.000 0.000
-2.805 4.858 0.000
0.000 0.000 8.349
Pm Zn Ga Cu
3 1 2 6
Direct
0.000 0.000 0.000
0.333 0.667 0.622
0.667 0.333 0.378
0.000 0.000 0.500
0.333 0.667 0.018
0.667 0.333 0.982
0.182 0.364 0.277
0.182 0.818 0.277
0.364 0.182 0.723
0.636 0.818 0.277
0.818 0.182 0.723
0.818 0.636 0.723
```

Computed properties:
The formation energy is -0.140 eV per atom. Its symmetry is P-3m1 (164). The value obtained for the total magnetic moment is 0.00 Bohr magnetons per cell.

***

Entry 22:
Here is an optimized crystal structure of Y4Tl5Pd2 from Alexandria. Energies are from GGA-PBE.

POSCAR file:
```
Y4Tl5Pd2
1.0
7.943 0.000 0.000
0.000 3.668 0.000
-0.670 0.000 9.700
Y Tl Pd
4 5 2
Direct
0.194 0.000 0.350
0.218 0.000 0.927
0.782 0.000 0.073
0.806 0.000 0.650
0.150 0.500 0.637
0.456 0.500 0.166
0.500 0.500 0.500
0.544 0.500 0.834
0.850 0.500 0.363
0.078 0.500 0.134
0.922 0.500 0.866
```

Computed properties:
The formation energy is -0.509 eV per atom. Its symmetry is P2/m (10). The value obtained for the total magnetic moment is 0.00 Bohr magnetons per cell.